Entry 1:
Entry from Alexandria via LeMat-Bulk: a geometry-optimized Hf5Pd3 structure (PBE-GGA).

Computed properties:
For the raw total energy, the calculation gives -0.640 Ry per atom. As for the energy of formation: -0.541 eV per atom. The size of the total moment comes out at 0.00 Bohr magnetons per cell. As for the density of states at the Fermi level: 0.703 states/eV per atom. As for the crystal system: tetragonal.

a = 3.276 Å, b = 3.276 Å, c = 14.373 Å
α = 90.00°, β = 90.00°, γ = 90.00°
Atoms (fractional coordinates):
Pd1 0.000 0.000 0.500
Hf1 0.000 0.000 0.000
Hf2 0.000 0.000 0.241
Pd2 0.500 0.500 0.117
Hf3 0.000 0.000 0.759
Hf4 0.500 0.500 0.620
Pd3 0.500 0.500 0.883
Hf5 0.500 0.500 0.380

Entry 2:
Entry from Alexandria via LeMat-Bulk: a geometry-optimized HfPd2 structure (PBE-GGA).

Computed properties:
For the raw total energy, the calculation gives -0.558 Ry per atom. As for the energy of formation: -0.814 eV per atom. The size of the total moment comes out at 0.00 Bohr magnetons per cell. As for the density of states at the Fermi level: 0.608 states/eV per atom. As for the crystal system: tetragonal.

a = 3.422 Å, b = 3.422 Å, c = 5.021 Å
α = 109.95°, β = 109.95°, γ = 90.00°
Atoms (fractional coordinates):
Pd1 0.661 0.661 0.321
Pd2 0.339 0.339 0.679
Hf1 0.000 0.000 0.000

Entry 3:
Entry from Alexandria via LeMat-Bulk: a geometry-optimized HfPd4 structure (PBE-GGA).

Computed properties:
For the raw total energy, the calculation gives -0.493 Ry per atom. As for the energy of formation: -0.563 eV per atom. The size of the total moment comes out at 0.00 Bohr magnetons per cell. As for the density of states at the Fermi level: 0.697 states/eV per atom. As for the crystal system: monoclinic.

a = 4.663 Å, b = 5.085 Å, c = 7.553 Å
α = 114.11°, β = 90.00°, γ = 90.00°
Atoms (fractional coordinates):
Hf1 0.000 0.000 0.000
Hf2 0.500 0.000 0.500
Pd1 0.497 0.406 0.301
Pd2 0.003 0.406 0.801
Pd3 0.002 0.800 0.600
Pd4 0.998 0.200 0.400
Pd5 0.997 0.594 0.199
Pd6 0.502 0.200 0.900
Pd7 0.498 0.800 0.100
Pd8 0.503 0.594 0.699

Entry 4:
Entry from Alexandria via LeMat-Bulk: a geometry-optimized HfPd2 structure (PBE-GGA).

Computed properties:
For the raw total energy, the calculation gives -0.558 Ry per atom. As for the energy of formation: -0.811 eV per atom. The size of the total moment comes out at 0.00 Bohr magnetons per cell. As for the density of states at the Fermi level: 0.388 states/eV per atom. As for the crystal system: orthorhombic.

a = 4.252 Å, b = 3.624 Å, c = 6.881 Å
α = 105.27°, β = 90.00°, γ = 90.00°
Atoms (fractional coordinates):
Hf1 0.250 0.898 0.797
Pd1 0.250 0.243 0.486
Hf2 0.750 0.102 0.203
Pd2 0.250 0.570 0.141
Pd3 0.750 0.757 0.514
Pd4 0.750 0.430 0.859

Entry 5:
Entry from Alexandria via LeMat-Bulk: a geometry-optimized HfPd structure (PBE-GGA).

Computed properties:
For the raw total energy, the calculation gives -0.565 Ry per atom. As for the energy of formation: -0.113 eV per atom. The size of the total moment comes out at 0.00 Bohr magnetons per cell. As for the density of states at the Fermi level: 1.107 states/eV per atom. As for the crystal system: hexagonal.

a = 9.749 Å, b = 9.749 Å, c = 2.971 Å
α = 90.00°, β = 90.00°, γ = 120.00°
Atoms (fractional coordinates):
Hf1 0.489 0.864 0.750
Pd1 0.295 0.232 0.250
Hf2 0.511 0.136 0.250
Pd2 0.705 0.768 0.750
Hf3 0.864 0.375 0.250
Hf4 0.375 0.511 0.750
Pd3 0.937 0.705 0.250
Pd4 0.768 0.063 0.250
Hf5 0.625 0.489 0.250
Pd5 0.063 0.295 0.750
Pd6 0.232 0.937 0.750
Hf6 0.136 0.625 0.750

Entry 6:
Entry from Alexandria via LeMat-Bulk: a geometry-optimized HfPd structure (PBE-GGA).

Computed properties:
For the raw total energy, the calculation gives -0.559 Ry per atom. As for the energy of formation: -0.027 eV per atom. The size of the total moment comes out at 0.00 Bohr magnetons per cell. As for the density of states at the Fermi level: 0.695 states/eV per atom. As for the crystal system: hexagonal.

a = 4.580 Å, b = 4.580 Å, c = 5.349 Å
α = 90.00°, β = 90.00°, γ = 120.00°
Atoms (fractional coordinates):
Pd1 0.333 0.667 0.250
Pd2 0.667 0.333 0.750
Hf1 0.667 0.333 0.250
Hf2 0.333 0.667 0.750

Entry 7:
Entry from Alexandria via LeMat-Bulk: a geometry-optimized Hf5Pd structure (PBE-GGA).

Computed properties:
For the raw total energy, the calculation gives -0.681 Ry per atom. As for the energy of formation: -0.107 eV per atom. The size of the total moment comes out at 0.00 Bohr magnetons per cell. As for the density of states at the Fermi level: 1.416 states/eV per atom. As for the crystal system: orthorhombic.

a = 4.419 Å, b = 4.359 Å, c = 6.877 Å
α = 108.48°, β = 90.00°, γ = 90.00°
Atoms (fractional coordinates):
Pd1 0.000 0.000 0.000
Hf1 0.000 0.335 0.670
Hf2 0.500 0.168 0.336
Hf3 0.500 0.500 0.000
Hf4 0.500 0.832 0.664
Hf5 0.000 0.665 0.330

Entry 8:
Entry from Alexandria via LeMat-Bulk: a geometry-optimized HfPd structure (PBE-GGA).

Computed properties:
For the raw total energy, the calculation gives -0.601 Ry per atom. As for the energy of formation: -0.608 eV per atom. The size of the total moment comes out at 0.00 Bohr magnetons per cell. As for the density of states at the Fermi level: 0.701 states/eV per atom. As for the crystal system: orthorhombic.

a = 5.365 Å, b = 5.261 Å, c = 10.694 Å
α = 90.00°, β = 90.00°, γ = 90.00°
Atoms (fractional coordinates):
Pd1 0.670 0.916 0.804
Hf1 0.848 0.086 0.050
Hf2 0.675 0.592 0.236
Pd2 0.830 0.084 0.304
Hf3 0.652 0.914 0.550
Pd3 0.170 0.584 0.196
Hf4 0.325 0.092 0.264
Pd4 0.644 0.419 0.482
Pd5 0.330 0.416 0.696
Pd6 0.356 0.919 0.018
Hf5 0.175 0.908 0.764
Hf6 0.825 0.408 0.736
Hf7 0.152 0.586 0.450
Pd7 0.856 0.581 0.982
Pd8 0.144 0.081 0.518
Hf8 0.348 0.414 0.950

Entry 9:
Entry from Alexandria via LeMat-Bulk: a geometry-optimized HfPd structure (PBE-GGA).

Computed properties:
For the raw total energy, the calculation gives -0.519 Ry per atom. As for the energy of formation: 0.517 eV per atom. The size of the total moment comes out at 0.00 Bohr magnetons per cell. As for the density of states at the Fermi level: 0.826 states/eV per atom. As for the crystal system: cubic.

a = 7.349 Å, b = 7.349 Å, c = 7.349 Å
α = 90.00°, β = 90.00°, γ = 90.00°
Atoms (fractional coordinates):
Pd1 0.000 0.500 0.250
Pd2 0.750 0.000 0.500
Hf1 0.000 0.250 0.500
Pd3 0.250 0.000 0.500
Pd4 0.000 0.500 0.750
Hf2 0.000 0.750 0.500
Hf3 0.500 0.000 0.750
Pd5 0.500 0.250 0.000
Pd6 0.500 0.750 0.000
Hf4 0.500 0.000 0.250
Hf5 0.250 0.500 0.000
Hf6 0.750 0.500 0.000

Entry 10:
Entry from Alexandria via LeMat-Bulk: a geometry-optimized HfPd structure (PBE-GGA).

Computed properties:
For the raw total energy, the calculation gives -0.594 Ry per atom. As for the energy of formation: -0.512 eV per atom. The size of the total moment comes out at 0.00 Bohr magnetons per cell. As for the density of states at the Fermi level: 0.916 states/eV per atom. As for the crystal system: orthorhombic.

a = 3.398 Å, b = 14.795 Å, c = 4.435 Å
α = 90.00°, β = 90.00°, γ = 90.00°
Atoms (fractional coordinates):
Hf1 0.500 0.500 0.011
Pd1 0.000 0.000 0.024
Hf2 0.000 0.674 0.862
Hf3 0.500 0.000 0.511
Hf4 0.000 0.826 0.362
Pd2 0.500 0.656 0.371
Pd3 0.500 0.844 0.871
Pd4 0.500 0.156 0.871
Pd5 0.500 0.344 0.371
Pd6 0.000 0.500 0.524
Hf5 0.000 0.326 0.862
Hf6 0.000 0.174 0.362

Entry 11:
Entry from Alexandria via LeMat-Bulk: a geometry-optimized HfPd structure (PBE-GGA).

Computed properties:
For the raw total energy, the calculation gives -0.537 Ry per atom. As for the energy of formation: 0.268 eV per atom. The size of the total moment comes out at 0.00 Bohr magnetons per cell. As for the density of states at the Fermi level: 0.191 states/eV per atom. As for the crystal system: cubic.

a = 5.956 Å, b = 5.956 Å, c = 5.956 Å
α = 90.00°, β = 90.00°, γ = 90.00°
Atoms (fractional coordinates):
Hf1 0.500 0.500 0.000
Pd1 0.250 0.250 0.250
Pd2 0.250 0.750 0.750
Hf2 0.000 0.000 0.000
Pd3 0.750 0.250 0.750
Pd4 0.750 0.750 0.250
Hf3 0.500 0.000 0.500
Hf4 0.000 0.500 0.500

Entry 12:
Entry from Alexandria via LeMat-Bulk: a geometry-optimized HfPd structure (PBE-GGA).

Computed properties:
For the raw total energy, the calculation gives -0.591 Ry per atom. As for the energy of formation: -0.471 eV per atom. The size of the total moment comes out at 0.00 Bohr magnetons per cell. As for the density of states at the Fermi level: 0.890 states/eV per atom. As for the crystal system: orthorhombic.

a = 7.103 Å, b = 8.275 Å, c = 10.691 Å
α = 90.00°, β = 90.00°, γ = 90.00°
Atoms (fractional coordinates):
Pd1 0.196 0.000 0.000
Hf1 0.000 0.704 0.000
Hf2 0.500 0.704 0.500
Pd2 0.554 0.250 0.250
Pd3 0.304 0.500 0.000
Pd4 0.304 0.000 0.500
Hf3 0.750 0.954 0.250
Hf4 0.500 0.204 0.000
Pd5 0.054 0.250 0.750
Hf5 0.250 0.454 0.250
Pd6 0.446 0.250 0.750
Pd7 0.054 0.750 0.250
Hf6 0.750 0.546 0.250
Pd8 0.946 0.250 0.250
Hf7 0.250 0.546 0.750
Hf8 0.000 0.796 0.500
Hf9 0.500 0.296 0.500
Hf10 0.750 0.046 0.750
Pd9 0.804 0.500 0.500
Hf11 0.750 0.454 0.750
Hf12 0.500 0.796 0.000
Pd10 0.446 0.750 0.250
Hf13 0.000 0.296 0.000
Pd11 0.696 0.500 0.000
Pd12 0.946 0.750 0.750
Pd13 0.804 0.000 0.000
Pd14 0.696 0.000 0.500
Hf14 0.250 0.046 0.250
Pd15 0.196 0.500 0.500
Pd16 0.554 0.750 0.750
Hf15 0.250 0.954 0.750
Hf16 0.000 0.204 0.500